No. 1
Density functional theory data (GGA-PBE) for a geometry-optimized LiFeB structure.

Structure (POSCAR):
```
LiFeB
1.0
-2.671 1.238 1.975
-2.536 1.979 -1.489
-3.266 -1.317 -0.409
Fe B Li
1 1 1
direct
0.000 0.000 0.000
0.250 0.250 0.250
0.750 0.750 0.750
```

Summary:
Total energy = -14.61 eV per cell
SG = No. 216
Calculated density = 3.88 g/cm³


No. 2
Density functional theory data (GGA-PBE) for a geometry-optimized LiFeB4 structure.

Structure (POSCAR):
```
LiFeB4
1.0
-1.483 2.569 2.962
1.483 -2.569 2.962
1.483 2.569 -2.962
B Fe Li
4 1 1
direct
0.914 0.254 0.660
0.594 0.254 0.340
0.086 0.746 0.340
0.406 0.746 0.660
0.500 0.500 0.000
0.000 0.000 0.000
```

Summary:
SG = No. 71
Calculated density = 3.90 g/cm³
Offset from the most stable computed form = 74 meV/atom